1.
Compound: Dy5Ho4Al
Source: Alexandria via LeMat-Bulk
Functional: PBE
Structure: relaxed

Unit cell a=3.5254 b=3.5254 c=23.9574 alpha=90.00 beta=90.00 gamma=90.00
Element x y z (fractional)
Dy 0.0000 0.0000 0.0000
Dy 0.0000 0.0000 0.2098
Dy 0.0000 0.0000 0.4206
Dy 0.0000 0.0000 0.5794
Dy 0.0000 0.0000 0.7902
Ho 0.5000 0.5000 0.1046
Ho 0.5000 0.5000 0.3138
Ho 0.5000 0.5000 0.6862
Ho 0.5000 0.5000 0.8954
Al 0.5000 0.5000 0.5000

Summary:
E_form, kJ/mol of atoms: -5.86
Density, g/cm3: 8.4
Total moment, μB per cell: 0.00
Space-group type: P4/mmm

---

2.
Compound: DyHo3Al
Source: Alexandria via LeMat-Bulk
Functional: PBE
Structure: relaxed

Unit cell a=6.6724 b=6.6724 c=12.3917 alpha=95.02 beta=95.02 gamma=31.04
Element x y z (fractional)
Dy 0.2237 0.2237 0.2482
Dy 0.7763 0.7763 0.7518
Ho 0.0335 0.0335 0.6945
Ho 0.1412 0.1412 0.9497
Ho 0.3645 0.3645 0.5189
Ho 0.6355 0.6355 0.4811
Ho 0.8588 0.8588 0.0503
Ho 0.9665 0.9665 0.3055
Al 0.4495 0.4495 0.8786
Al 0.5505 0.5505 0.1214

Summary:
E_form, kJ/mol of atoms: -14.15
Density, g/cm3: 8.0
Total moment, μB per cell: 0.90
Offset from the most stable computed form, meV/atom: 0
Space-group type: C2/m

---

3.
Compound: DyHo2Al
Source: Alexandria via LeMat-Bulk
Functional: PBE
Structure: relaxed

Unit cell a=3.4951 b=3.4951 c=8.9845 alpha=90.00 beta=90.00 gamma=90.00
Element x y z (fractional)
Dy 0.0000 0.0000 0.0000
Ho 0.5000 0.5000 0.2858
Ho 0.5000 0.5000 0.7142
Al 0.0000 0.0000 0.5000

Summary:
E_form, kJ/mol of atoms: -18.25
Density, g/cm3: 7.9
Total moment, μB per cell: 0.00
Offset from the most stable computed form, meV/atom: 11
Space-group type: P4/mmm

---

Question: Among the records above, which one has the lowest density?
Answer: DyHo2Al

---

Question: What is the total moment in the second record?
Answer: 0.90 μB per cell

---

Question: Which formula does entry 3 have?
Answer: DyHo2Al

---

Question: Which of these has the highest total moment?
Answer: DyHo3Al